1.
A plane-wave DFT calculation with PBE was carried out for an optimized crystal structure of BeCuAs.

Unit cell a=6.816 b=3.933 c=6.805 alpha=90.00 beta=109.51 gamma=90.00
Sites, in units of the cell vectors:
1 Be 0.117 0.000 0.353
2 Be 0.383 0.500 0.647
3 Be 0.617 0.500 0.353
4 Be 0.883 0.000 0.647
5 Cu 0.127 0.501 0.883
6 Cu 0.373 0.001 0.117
7 Cu 0.627 0.001 0.883
8 Cu 0.873 0.501 0.117
9 As 0.241 0.000 0.721
10 As 0.259 0.500 0.279
11 As 0.741 0.500 0.721
12 As 0.759 0.000 0.279

Output
Energy of formation = 16 meV per atom
Space group = C2


2.
A plane-wave DFT calculation with PBE was carried out for an optimized crystal structure of Pr4BiSbTe2.

Unit cell a=7.904 b=4.576 c=7.931 alpha=90.00 beta=109.58 gamma=90.00
Sites, in units of the cell vectors:
1 Pr 0.243 0.000 0.243
2 Pr 0.246 0.500 0.753
3 Pr 0.754 0.500 0.247
4 Pr 0.757 0.000 0.757
5 Bi 0.000 0.000 0.500
6 Sb 0.000 0.500 0.000
7 Te 0.500 0.000 0.000
8 Te 0.500 0.500 0.500

Output
Formation energy from raw total energies = -1.2875 eV per atom
Space group = P2/m


3.
A plane-wave DFT calculation with PBE was carried out for an optimized crystal structure of BeTl2Se.

Unit cell a=4.017 b=3.587 c=7.338 alpha=90.00 beta=105.56 gamma=90.00
Sites, in units of the cell vectors:
1 Be 0.000 0.000 0.000
2 Tl 0.254 0.000 0.513
3 Tl 0.592 0.500 0.197
4 Se 0.907 0.500 0.829

Output
Formation energy from raw total energies = -0.0379 eV per atom
Space group = Pm